1.
## Li2VPd6 (PBE)

Data for Li2VPd6 after structural relaxation.

```
data_Li2VPd6
_chemical_formula_sum 'Li8 V4 Pd24'
_cell_length_a 11.864
_cell_length_b 6.618
_cell_length_c 6.981
_cell_angle_alpha 90.00
_cell_angle_beta 99.70
_cell_angle_gamma 90.00
_symmetry_space_group_name_H-M 'C 1 2/c 1'
_symmetry_Int_Tables_number 15
loop_
_symmetry_equiv_pos_as_xyz
'x,y,z'
'-x,-y,-z'
'-x,y,-z+1/2'
'x,-y,z+1/2'
'x+1/2,y+1/2,z'
'-x+1/2,-y+1/2,-z'
'-x+1/2,y+1/2,-z+1/2'
'x+1/2,-y+1/2,z+1/2'
loop_
_atom_site_label
_atom_site_fract_x
_atom_site_fract_y
_atom_site_fract_z
Li1 0.236 0.083 0.366
V1 0.000 0.123 0.250
Pd1 0.088 0.187 0.625
Pd2 0.114 0.449 0.326
Pd3 0.141 0.199 0.026
```

Values from the calculation:
Energy of formation from the pure elements in eV per atom: -0.165

2.
## Ce2GePd (PBE)

Data for Ce2GePd after structural relaxation.

```
data_Ce2GePd
_chemical_formula_sum 'Ce6 Ge3 Pd3'
_cell_length_a 3.1035
_cell_length_b 3.1035
_cell_length_c 31.3704
_cell_angle_alpha 90.00
_cell_angle_beta 90.00
_cell_angle_gamma 120.00
_symmetry_space_group_name_H-M 'R -3 m'
_symmetry_Int_Tables_number 166
_symmetry_space_group_name_Hall '-R 3 2"'
loop_
_atom_site_label
_atom_site_fract_x
_atom_site_fract_y
_atom_site_fract_z
Ce1 0.0000 0.0000 0.0848
Ge1 0.0000 0.0000 0.5000
Pd1 0.0000 0.0000 0.0000
```

Values from the calculation:
Energy of formation from the pure elements in eV per atom: -0.199

3.
## LiSc2MnSe4 (PBE)

Data for LiSc2MnSe4 after structural relaxation.

```
data_LiSc2MnSe4
_chemical_formula_sum 'Li1 Sc2 Mn1 Se4'
_cell_length_a 6.674
_cell_length_b 3.854
_cell_length_c 6.681
_cell_angle_alpha 90.00
_cell_angle_beta 109.28
_cell_angle_gamma 90.00
_symmetry_space_group_name_H-M 'P 1 2/m 1'
_symmetry_Int_Tables_number 10
loop_
_symmetry_equiv_pos_as_xyz
'x,y,z'
'-x,-y,-z'
'-x,y,-z'
'x,-y,z'
loop_
_atom_site_label
_atom_site_fract_x
_atom_site_fract_y
_atom_site_fract_z
Li1 0.000 0.000 0.000
Sc1 0.000 0.500 0.500
Sc2 0.500 0.000 0.500
Mn1 0.500 0.500 0.000
Se1 0.251 0.500 0.249
Se2 0.252 0.000 0.754
```

Values from the calculation:
Energy relative to the elements, uncorrected in eV per atom: -1.31